# 1
# InTcCl2

A relaxed structure of InTcCl2 (GGA-PBE, the Alexandria database). Values from VASP.

Computed properties:
* formation energy from raw total energies: -0.1 eV per formula unit
* crystal system: monoclinic
* N(E_F): 3.158 states/eV/cell
* E: -4.23 eV per atom
* SG: P2/m, No. 10
* mass density: 5.193 g/cm3
* magnetization: 1.4 μB per cell
* relative energy among the computed polymorphs: 249 meV/atom

The structure in Quantum ESPRESSO input format:
```
&SYSTEM
  ibrav = 0, nat = 4, ntyp = 3
/
ATOMIC_SPECIES
In 114.82 In.upf
Tc 98.00 Tc.upf
Cl 35.45 Cl.upf
CELL_PARAMETERS angstrom
3.1204 0.0000 0.0000
0.0000 3.1076 0.0000
-0.1058 0.0000 9.3570
ATOMIC_POSITIONS crystal
In 0.0000 0.0000 0.0000
Tc 0.5000 0.0000 0.5000
Cl 0.4932 0.5000 0.3058
Cl 0.5068 0.5000 0.6942
```

# 2
# La6PmZn2

A relaxed structure of La6PmZn2 (GGA-PBE, the Alexandria database). Values from VASP.

Computed properties:
* crystal system: monoclinic
* N(E_F): 10.885 states/eV/cell
* E: -4.23 eV per atom
* SG: C2/m, No. 12
* mass density: 6.393 g/cm3
* magnetization: 0.0 μB per cell
* energy of formation from the pure elements: -1.25 eV per formula unit

The structure in Quantum ESPRESSO input format:
```
&SYSTEM
  ibrav = 0, nat = 9, ntyp = 3
/
ATOMIC_SPECIES
La 138.91 La.upf
Pm 145.00 Pm.upf
Zn 65.41 Zn.upf
CELL_PARAMETERS angstrom
6.5100 -1.9091 0.0000
6.5100 1.9091 0.0000
-3.9978 0.0000 11.5915
ATOMIC_POSITIONS crystal
La 0.0289 0.0289 0.3278
La 0.3094 0.3094 0.4055
La 0.3133 0.3133 0.1252
La 0.6867 0.6867 0.8748
La 0.6906 0.6906 0.5945
La 0.9711 0.9711 0.6722
Pm 0.0000 0.0000 0.0000
Zn 0.3551 0.3551 0.8060
Zn 0.6449 0.6449 0.1940
```

# 3
# CsSn3Bi

A relaxed structure of CsSn3Bi (GGA-PBE, the Alexandria database). Values from VASP.

Computed properties:
* crystal system: cubic
* N(E_F): 5.711 states/eV/cell
* E: -1.97 eV per atom
* SG: Pm-3m, No. 221
* mass density: 5.104 g/cm3
* magnetization: 0.0 μB per cell
* relative energy among the computed polymorphs: 1550 meV/atom
* energy of formation from the pure elements: 6.90 eV per formula unit

The structure in Quantum ESPRESSO input format:
```
&SYSTEM
  ibrav = 0, nat = 5, ntyp = 3
/
ATOMIC_SPECIES
Cs 132.91 Cs.upf
Sn 118.71 Sn.upf
Bi 208.98 Bi.upf
CELL_PARAMETERS angstrom
6.1010 0.0000 0.0000
0.0000 6.1010 0.0000
0.0000 0.0000 6.1010
ATOMIC_POSITIONS crystal
Cs 0.0000 0.0000 0.0000
Sn 0.0000 0.0000 0.5000
Sn 0.0000 0.5000 0.0000
Sn 0.5000 0.0000 0.0000
Bi 0.5000 0.5000 0.5000
```

# 4
# CsTl2Cu

A relaxed structure of CsTl2Cu (GGA-PBE, the Alexandria database). Values from VASP.

Computed properties:
* crystal system: trigonal
* N(E_F): 2.267 states/eV/cell
* E: -2.32 eV per atom
* SG: R-3m, No. 166
* mass density: 7.129 g/cm3
* magnetization: 0.0 μB per cell
* relative energy among the computed polymorphs: 0 meV/atom
* energy of formation from the pure elements: 0.41 eV per formula unit

The structure in Quantum ESPRESSO input format:
```
&SYSTEM
  ibrav = 0, nat = 4, ntyp = 3
/
ATOMIC_SPECIES
Cs 132.91 Cs.upf
Tl 204.38 Tl.upf
Cu 63.55 Cu.upf
CELL_PARAMETERS angstrom
2.2384 1.2924 8.1223
-2.2384 1.2924 8.1223
0.0000 -2.5847 8.1223
ATOMIC_POSITIONS crystal
Cs 0.0000 0.0000 0.0000
Tl 0.2138 0.2138 0.2138
Tl 0.7862 0.7862 0.7862
Cu 0.5000 0.5000 0.5000
```

# 5
# BeSb2As

A relaxed structure of BeSb2As (GGA-PBE, the Alexandria database). Values from VASP.

Computed properties:
* formation energy from raw total energies: 1.5 eV per formula unit
* crystal system: tetragonal
* N(E_F): 1.908 states/eV/cell
* E: -3.78 eV per atom
* SG: I4/mmm, No. 139
* mass density: 6.013 g/cm3
* magnetization: 0.0 μB per cell
* relative energy among the computed polymorphs: 220 meV/atom

The structure in Quantum ESPRESSO input format:
```
&SYSTEM
  ibrav = 0, nat = 4, ntyp = 3
/
ATOMIC_SPECIES
Be 9.01 Be.upf
Sb 121.76 Sb.upf
As 74.92 As.upf
CELL_PARAMETERS angstrom
-2.7838 2.7838 2.9172
2.7838 -2.7838 2.9172
2.7838 2.7838 -2.9172
ATOMIC_POSITIONS crystal
Be 0.0000 0.0000 0.0000
Sb 0.0000 0.5000 0.5000
Sb 0.5000 0.0000 0.5000
As 0.5000 0.5000 0.0000
```

# 6
# Er4In3Ga

A relaxed structure of Er4In3Ga (GGA-PBE, the Alexandria database). Values from VASP.

Computed properties:
* crystal system: orthorhombic
* N(E_F): 6.614 states/eV/cell
* E: -4.13 eV per atom
* SG: Pmm2, No. 25
* mass density: 8.428 g/cm3
* magnetization: 0.0 μB per cell
* relative energy among the computed polymorphs: 31 meV/atom
* energy of formation from the pure elements: -3.53 eV per formula unit

The structure in Quantum ESPRESSO input format:
```
&SYSTEM
  ibrav = 0, nat = 8, ntyp = 3
/
ATOMIC_SPECIES
Er 167.26 Er.upf
In 114.82 In.upf
Ga 69.72 Ga.upf
CELL_PARAMETERS angstrom
4.2130 0.0000 0.0000
0.0000 4.5086 0.0000
0.0000 0.0000 11.2354
ATOMIC_POSITIONS crystal
Er 0.0000 0.0000 0.0000
Er 0.0000 0.5000 0.4847
Er 0.5000 0.0000 0.7147
Er 0.5000 0.5000 0.2195
In 0.0000 0.5000 0.7650
In 0.5000 0.0000 0.4324
In 0.5000 0.5000 0.9422
Ga 0.0000 0.0000 0.2677
```

# 7
# LaCe6In2

A relaxed structure of LaCe6In2 (GGA-PBE, the Alexandria database). Values from VASP.

Computed properties:
* crystal system: hexagonal
* N(E_F): 22.909 states/eV/cell
* E: -5.23 eV per atom
* SG: P6/mmm, No. 191
* mass density: 8.206 g/cm3
* magnetization: 2.2 μB per cell
* energy of formation from the pure elements: -1.02 eV per formula unit

The structure in Quantum ESPRESSO input format:
```
&SYSTEM
  ibrav = 0, nat = 9, ntyp = 3
/
ATOMIC_SPECIES
La 138.91 La.upf
Ce 140.12 Ce.upf
In 114.82 In.upf
CELL_PARAMETERS angstrom
9.4753 0.0000 0.0000
-4.7377 8.2059 0.0000
0.0000 0.0000 3.1472
ATOMIC_POSITIONS crystal
La 0.0000 0.0000 0.0000
Ce 0.0000 0.3518 0.5000
Ce 0.0000 0.6482 0.5000
Ce 0.3518 0.0000 0.5000
Ce 0.3518 0.3518 0.5000
Ce 0.6482 0.0000 0.5000
Ce 0.6482 0.6482 0.5000
In 0.3333 0.6667 0.0000
In 0.6667 0.3333 0.0000
```

# 8
# MgSN2O

A relaxed structure of MgSN2O (GGA-PBE, the Alexandria database). Values from VASP.

Computed properties:
* formation energy from raw total energies: 7.6 eV per formula unit
* crystal system: tetragonal
* N(E_F): 2.551 states/eV/cell
* E: -3.94 eV per atom
* SG: P4/mmm, No. 123
* mass density: 2.970 g/cm3
* magnetization: 1.2 μB per cell

The structure in Quantum ESPRESSO input format:
```
&SYSTEM
  ibrav = 0, nat = 5, ntyp = 4
/
ATOMIC_SPECIES
Mg 24.30 Mg.upf
S 32.06 S.upf
N 14.01 N.upf
O 16.00 O.upf
CELL_PARAMETERS angstrom
3.8429 0.0000 0.0000
0.0000 3.8429 0.0000
0.0000 0.0000 3.8002
ATOMIC_POSITIONS crystal
Mg 0.0000 0.0000 0.0000
S 0.5000 0.5000 0.0000
N 0.0000 0.5000 0.5000
N 0.5000 0.0000 0.5000
O 0.5000 0.5000 0.5000
```

# 9
# TmTlCu

A relaxed structure of TmTlCu (GGA-PBE, the Alexandria database). Values from VASP.

Computed properties:
* crystal system: cubic
* N(E_F): 3.795 states/eV/cell
* E: -3.82 eV per atom
* SG: F-43m, No. 216
* mass density: 10.477 g/cm3
* magnetization: 0.0 μB per cell
* energy of formation from the pure elements: -0.52 eV per formula unit

The structure in Quantum ESPRESSO input format:
```
&SYSTEM
  ibrav = 0, nat = 3, ntyp = 3
/
ATOMIC_SPECIES
Tm 168.93 Tm.upf
Tl 204.38 Tl.upf
Cu 63.55 Cu.upf
CELL_PARAMETERS angstrom
0.0000 3.2592 3.2592
3.2592 0.0000 3.2592
3.2592 3.2592 0.0000
ATOMIC_POSITIONS crystal
Tm 0.0000 0.0000 0.0000
Tl 0.5000 0.5000 0.5000
Cu 0.2500 0.2500 0.2500
```

# 10
# DyY6Tm2Th

A relaxed structure of DyY6Tm2Th (GGA-PBE, the Alexandria database). Values from VASP.

Computed properties:
* crystal system: monoclinic
* N(E_F): 30.825 states/eV/cell
* E: -5.83 eV per atom
* SG: C2/c, No. 15
* mass density: 6.503 g/cm3
* magnetization: 0.0 μB per cell
* energy of formation from the pure elements: 1.48 eV per formula unit

The structure in Quantum ESPRESSO input format:
```
&SYSTEM
  ibrav = 0, nat = 20, ntyp = 4
/
ATOMIC_SPECIES
Dy 162.50 Dy.upf
Y 88.91 Y.upf
Tm 168.93 Tm.upf
Th 232.04 Th.upf
CELL_PARAMETERS angstrom
4.6597 -7.5125 0.0000
4.6597 7.5125 0.0000
-0.7368 0.0000 9.2334
ATOMIC_POSITIONS crystal
Dy 0.0844 0.9156 0.7500
Dy 0.9156 0.0844 0.2500
Y 0.0204 0.7875 0.3927
Y 0.0650 0.5053 0.1868
Y 0.2125 0.9796 0.1073
Y 0.2709 0.6180 0.5586
Y 0.3820 0.7291 0.9414
Y 0.4947 0.9350 0.3132
Y 0.5053 0.0650 0.6868
Y 0.6180 0.2709 0.0586
Y 0.7291 0.3820 0.4414
Y 0.7875 0.0204 0.8927
Y 0.9350 0.4947 0.8132
Y 0.9796 0.2125 0.6073
Tm 0.1944 0.2984 0.9434
Tm 0.2984 0.1944 0.4434
Tm 0.7016 0.8056 0.5566
Tm 0.8056 0.7016 0.0566
Th 0.4656 0.5344 0.2500
Th 0.5344 0.4656 0.7500
```

# 11
# ScIr2Ru

A relaxed structure of ScIr2Ru (GGA-PBE, the Alexandria database). Values from VASP.

Computed properties:
* crystal system: orthorhombic
* N(E_F): 3.534 states/eV/cell
* E: -8.69 eV per atom
* SG: Pmmm, No. 47
* mass density: 14.257 g/cm3
* magnetization: 0.0 μB per cell
* relative energy among the computed polymorphs: 90 meV/atom
* energy of formation from the pure elements: -1.41 eV per formula unit

The structure in Quantum ESPRESSO input format:
```
&SYSTEM
  ibrav = 0, nat = 4, ntyp = 3
/
ATOMIC_SPECIES
Sc 44.96 Sc.upf
Ir 192.22 Ir.upf
Ru 101.07 Ru.upf
CELL_PARAMETERS angstrom
2.8231 0.0000 0.0000
0.0000 3.8842 0.0000
0.0000 0.0000 5.6345
ATOMIC_POSITIONS crystal
Sc 0.0000 0.0000 0.0000
Ir 0.5000 0.5000 0.2645
Ir 0.5000 0.5000 0.7355
Ru 0.0000 0.0000 0.5000
```

# 12
# Ga2Ge2Pb

A relaxed structure of Ga2Ge2Pb (GGA-PBE, the Alexandria database). Values from VASP.

Computed properties:
* crystal system: tetragonal
* N(E_F): 2.173 states/eV/cell
* E: -3.67 eV per atom
* SG: I4/mmm, No. 139
* mass density: 7.317 g/cm3
* magnetization: 0.0 μB per cell
* relative energy among the computed polymorphs: 0 meV/atom
* energy of formation from the pure elements: 0.63 eV per formula unit

The structure in Quantum ESPRESSO input format:
```
&SYSTEM
  ibrav = 0, nat = 5, ntyp = 3
/
ATOMIC_SPECIES
Ga 69.72 Ga.upf
Ge 72.64 Ge.upf
Pb 207.20 Pb.upf
CELL_PARAMETERS angstrom
-2.2644 2.2644 5.4434
2.2644 -2.2644 5.4434
2.2644 2.2644 -5.4434
ATOMIC_POSITIONS crystal
Ga 0.1156 0.1156 0.0000
Ga 0.8844 0.8844 0.0000
Ge 0.2500 0.7500 0.5000
Ge 0.7500 0.2500 0.5000
Pb 0.5000 0.5000 0.0000
```